Entry 1:
TcMoAs2 | SCAN | single point on PBEsol structure

a b c (Å): 4.4142 4.4142 4.4142
angles (deg): 60.00 60.00 60.00
Last column: nearest neighbours and their distance in Å.
Positions (direct):
As 0.7500 0.7500 0.7500  4 As 2.70, 4 Mo 2.70
As 0.0000 0.0000 0.0000  4 As 2.70, 4 Tc 2.70
Tc 0.2500 0.2500 0.2500  4 As 2.70, 4 Mo 2.70
Mo 0.5000 0.5000 0.5000  4 Tc 2.70, 4 As 2.70

M_tot: 0.00 μB/cell
Calculated total energy: -108.685 eV/cell
Space group: F-43m


Entry 2:
TcMoAs2 | SCAN | single point on PBEsol structure

a b c (Å): 2.9124 3.8818 5.3222
angles (deg): 90.00 90.00 90.00
Last column: nearest neighbours and their distance in Å.
Positions (direct):
As 0.5000 0.5000 0.2924  4 Mo 2.60, 2 Tc 2.62-2.70
As 0.0000 0.0000 0.9543  4 Tc 2.59, 2 Mo 2.59-2.73
Mo 0.0000 0.0000 0.4678  6 As 2.59-2.73
Tc 0.5000 0.5000 0.7855  6 As 2.59-2.70

M_tot: 0.39 μB/cell
Calculated total energy: -110.361 eV/cell
Space group: Pmm2


Entry 3:
TcMoAs2 | SCAN | single point on PBEsol structure

a b c (Å): 3.0652 3.9675 5.0740
angles (deg): 90.00 90.00 90.00
Last column: nearest neighbours and their distance in Å.
Positions (direct):
Tc 0.0000 0.5000 0.5000  4 As 2.51
Mo 0.5000 0.5000 0.0000  4 As 2.51
As 0.5000 0.0000 0.5000  4 Tc 2.51
As 0.0000 0.0000 0.0000  4 Mo 2.51

M_tot: 0.00 μB/cell
Calculated total energy: -108.981 eV/cell
Space group: Pmmm


Entry 4:
TcMoAs2 | SCAN | single point on PBEsol structure

a b c (Å): 2.9454 4.9432 4.9432
angles (deg): 106.55 105.67 105.67
Last column: nearest neighbours and their distance in Å.
Positions (direct):
Mo 0.5000 0.0000 0.0000  4 As 2.51
As 0.0000 0.5000 0.0000  2 Mo 2.51, 2 Tc 2.51
As 0.0000 0.0000 0.5000  2 Tc 2.51, 2 Mo 2.51
Tc 0.5000 0.5000 0.5000  4 As 2.51

M_tot: 0.00 μB/cell
Calculated total energy: -109.021 eV/cell
Space group: C2/m


Entry 5:
TcMoAs2 | SCAN | single point on PBEsol structure

a b c (Å): 2.9646 3.9040 5.3296
angles (deg): 90.00 92.72 90.00
Last column: nearest neighbours and their distance in Å.
Positions (direct):
As 0.1423 0.0000 0.2408  2 Tc 2.44, 2 Mo 2.59, 1 As 2.66
As 0.8577 0.0000 0.7592  2 Tc 2.44, 2 Mo 2.59, 1 As 2.66
Mo 0.5000 0.5000 0.0000  4 As 2.59
Tc 0.0000 0.5000 0.5000  4 As 2.44

M_tot: 0.00 μB/cell
Calculated total energy: -109.175 eV/cell
Space group: P2/m


Entry 6:
TcMoAs2 | SCAN | single point on PBEsol structure

a b c (Å): 2.7739 2.7739 9.3441
angles (deg): 90.00 90.00 111.75
Last column: nearest neighbours and their distance in Å.
Positions (direct):
Mo 0.0000 0.0000 0.4871  2 As 2.60, 2 Tc 2.65, 4 Mo 2.77
As 0.0000 0.0000 0.0448  2 Tc 2.53, 4 As 2.77
As 0.5000 0.5000 0.7104  2 Mo 2.60, 4 As 2.77
Tc 0.5000 0.5000 0.2576  2 As 2.53, 2 Mo 2.65, 4 Tc 2.77

M_tot: 0.00 μB/cell
Calculated total energy: -109.553 eV/cell
Space group: Cmm2


Entry 7:
TeMo3As | SCAN | single point on PBEsol structure

a b c (Å): 4.6243 4.6243 4.6243
angles (deg): 90.00 90.00 90.00
Last column: nearest neighbours and their distance in Å.
Positions (direct):
Mo 0.0000 0.5000 0.0000  2 As 2.31
Mo 0.0000 0.0000 0.5000  2 As 2.31
Mo 0.5000 0.0000 0.0000  2 As 2.31
Te 0.5000 0.5000 0.5000  12 Mo 3.27
As 0.0000 0.0000 0.0000  6 Mo 2.31

M_tot: 2.78 μB/cell
Energy relative to the elements, uncorrected: 1.1472 eV per atom
Space group: Pm-3m


Entry 8:
TeMoAs2 | SCAN | single point on PBEsol structure

a b c (Å): 3.2762 4.5725 4.9182
angles (deg): 90.00 90.00 90.00
Last column: nearest neighbours and their distance in Å.
Positions (direct):
Te 0.0000 0.5000 0.5000  4 Mo 2.81, 4 As 2.95
As 0.0000 0.0000 0.0000  4 As 2.81, 4 Mo 2.95
As 0.5000 0.5000 0.0000  4 As 2.81, 4 Te 2.95
Mo 0.5000 0.0000 0.5000  4 Te 2.81, 4 As 2.95

M_tot: 0.00 μB/cell
Energy relative to the elements, uncorrected: 0.6382 eV per atom
Space group: Pmmm


Entry 9:
Te4MoAs | SCAN | single point on PBEsol structure

a b c (Å): 6.0967 6.0967 6.0967
angles (deg): 60.00 60.00 60.00
Last column: nearest neighbours and their distance in Å.
Positions (direct):
Te 0.3749 0.3749 0.3749  6 Te 3.05
Te 0.3749 0.8753 0.3749  6 Te 3.05
Te 0.3749 0.3749 0.8753  6 Te 3.05
Te 0.8753 0.3749 0.3749  6 Te 3.05
Mo 0.0000 0.0000 0.0000  12 Te 3.57, 4 As 3.73
As 0.7500 0.7500 0.7500  12 Te 3.57, 4 Mo 3.73

M_tot: 2.80 μB/cell
Energy relative to the elements, uncorrected: 1.1432 eV per atom
Space group: F-43m


Entry 10:
TeMoAs3 | SCAN | single point on PBEsol structure

a b c (Å): 4.8442 4.8442 4.8442
angles (deg): 90.00 90.00 90.00
Last column: nearest neighbours and their distance in Å.
Positions (direct):
As 0.5000 0.0000 0.0000  2 Mo 2.42
As 0.0000 0.0000 0.5000  2 Mo 2.42
As 0.0000 0.5000 0.0000  2 Mo 2.42
Te 0.5000 0.5000 0.5000  12 As 3.43
Mo 0.0000 0.0000 0.0000  6 As 2.42

M_tot: 0.00 μB/cell
Energy relative to the elements, uncorrected: 0.4462 eV per atom
Space group: Pm-3m


Entry 11:
TeMoAs2 | SCAN | single point on PBEsol structure

a b c (Å): 3.3426 4.4350 6.4094
angles (deg): 99.60 90.00 112.14
Last column: nearest neighbours and their distance in Å.
Positions (direct):
Mo 0.4968 0.9935 0.5798  5 As 2.50-2.67
Te 0.7690 0.5379 0.3133  3 Mo 2.84-3.05, 2 As 3.07
As 0.0105 0.0210 0.9072  1 As 2.38
As 0.2238 0.4476 0.6998  1 As 2.38, 3 Mo 2.50-2.52

M_tot: 0.00 μB/cell
Energy relative to the elements, uncorrected: 0.0198 eV per atom
Space group: Cm


Entry 12:
TiMoAs2 | SCAN | single point on PBEsol structure

a b c (Å): 3.3367 6.0293 6.4334
angles (deg): 90.00 90.00 90.00
Last column: nearest neighbours and their distance in Å.
Positions (direct):
Ti 0.0000 0.4948 0.4339  6 As 2.49-2.74
Ti 0.0000 0.9948 0.5661  6 As 2.49-2.74
As 0.0000 0.3056 0.8210  2 Ti 2.49-2.74, 4 Mo 2.56-2.59
As 0.5000 0.6916 0.6849  2 Mo 2.51-2.67, 4 Ti 2.59-2.61
As 0.0000 0.8056 0.1790  2 Ti 2.49-2.74, 4 Mo 2.56-2.59
As 0.5000 0.1916 0.3151  2 Mo 2.51-2.67, 4 Ti 2.59-2.61
Mo 0.5000 0.0080 0.9377  6 As 2.51-2.67
Mo 0.5000 0.5080 0.0623  6 As 2.51-2.67

M_tot: 0.00 μB/cell
Calculated total energy: -187.813 eV/cell
Space group: Pmc2_1


Entry 13:
TiMo3As | SCAN | single point on PBEsol structure

a b c (Å): 4.5387 4.5387 4.5387
angles (deg): 90.00 90.00 90.00
Last column: nearest neighbours and their distance in Å.
Positions (direct):
Mo 0.5000 0.0000 0.0000  2 As 2.27
Mo 0.0000 0.5000 0.0000  2 As 2.27
Mo 0.0000 0.0000 0.5000  2 As 2.27
Ti 0.5000 0.5000 0.5000  12 Mo 3.21
As 0.0000 0.0000 0.0000  6 Mo 2.27

M_tot: 0.00 μB/cell
Calculated total energy: -136.022 eV/cell
Space group: Pm-3m


Entry 14:
TiMoAs2 | SCAN | single point on PBEsol structure

a b c (Å): 4.4011 4.4011 4.4011
angles (deg): 60.00 60.00 60.00
Last column: nearest neighbours and their distance in Å.
Positions (direct):
Ti 0.0000 0.0000 0.0000  8 As 2.70
Mo 0.5000 0.5000 0.5000  8 As 2.70
As 0.2500 0.2500 0.2500  4 Ti 2.70, 4 Mo 2.70
As 0.7500 0.7500 0.7500  4 Mo 2.70, 4 Ti 2.70

M_tot: 0.00 μB/cell
Calculated total energy: -92.914 eV/cell
Space group: Fm-3m


Entry 15:
TiTlMo2As | SCAN | single point on PBEsol structure

a b c (Å): 4.6452 4.6680 4.6680
angles (deg): 90.00 90.00 90.00
Last column: nearest neighbours and their distance in Å.
Positions (direct):
Mo 0.0000 0.5000 0.0000  2 Ti 2.33
Mo 0.0000 0.0000 0.5000  2 Ti 2.33
Ti 0.0000 0.0000 0.0000  2 As 2.32, 4 Mo 2.33
Tl 0.5000 0.5000 0.5000  8 Mo 3.29, 4 As 3.30
As 0.5000 0.0000 0.0000  2 Ti 2.32

M_tot: 2.92 μB/cell
Calculated total energy: -172.098 eV/cell
Space group: P4/mmm